! CsBaH2Br, relaxed, DFT PBE; values from VASP
&SYSTEM
  ibrav = 0, nat = 5, ntyp = 4
/
ATOMIC_SPECIES
Cs 132.91 Cs.upf
Ba 137.33 Ba.upf
H 1.01 H.upf
Br 79.90 Br.upf
ATOMIC_POSITIONS crystal
Cs 0.000 0.000 0.000
Ba 0.500 0.500 0.500
H 0.000 0.500 0.500
H 0.500 0.000 0.500
Br 0.500 0.500 0.000
CELL_PARAMETERS angstrom
5.229 0.000 0.000
0.000 5.229 0.000
0.000 0.000 6.490
! - N(E_F): 0.00 states/eV per cell
! - E_tot: -0.2269 Ry/atom
! - Total magnetic moment: 0.00 μB/f.u.
! - Space group: P4/mmm (123)